{
  "formula": "CaLaRh2Se",
  "functional": "PBE",
  "state": "relaxed",
  "vol_a3_per_cell": 121,
  "final_energy_ev_per_atom": -5.772,
  "relative_energy_mev_per_atom": 258.2,
  "e_form_raw_kj_per_mol_fu": -361,
  "dos_at_fermi_per_ev_atom": 0.569,
  "cell": [[4.596, 0.000, 0.000], [2.106, 4.552, 0.000], [1.741, -0.171, 5.786]],
  "species": ["Ca", "La", "Rh", "Rh", "Se"],
  "fractional_positions": [[0.000, 0.000, 0.000], [0.841, 0.585, 0.560], [0.169, 0.917, 0.472], [0.499, 0.280, 0.465], [0.634, 0.623, 0.103]]
}

---

{
  "formula": "CaLaRh2Se",
  "functional": "PBE",
  "state": "relaxed",
  "vol_a3_per_cell": 247,
  "final_energy_ev_per_atom": -6.030,
  "relative_energy_mev_per_atom": 0.0,
  "e_form_raw_kj_per_mol_fu": -486,
  "dos_at_fermi_per_ev_atom": 0.877,
  "cell": [[7.627, 0.000, 0.000], [0.000, 4.181, 0.000], [-2.639, 0.000, 7.738]],
  "species": ["Ca", "Ca", "La", "La", "Rh", "Rh", "Rh", "Rh", "Se", "Se"],
  "fractional_positions": [[0.000, 0.000, 0.000], [0.500, 0.500, 0.000], [0.176, 0.000, 0.519], [0.676, 0.500, 0.519], [0.252, 0.500, 0.269], [0.432, 0.000, 0.264], [0.752, 0.000, 0.269], [0.932, 0.500, 0.264], [0.091, 0.500, 0.771], [0.591, 0.000, 0.771]]
}

---

{
  "formula": "CaLaRhSe",
  "functional": "PBE",
  "state": "relaxed",
  "vol_a3_per_cell": 100,
  "final_energy_ev_per_atom": -5.533,
  "relative_energy_mev_per_atom": 113.9,
  "e_form_raw_kj_per_mol_fu": -421,
  "dos_at_fermi_per_ev_atom": 0.223,
  "cell": [[3.739, 0.000, 0.000], [0.000, 3.646, 0.000], [-1.857, 0.000, 7.371]],
  "species": ["Ca", "La", "Rh", "Se"],
  "fractional_positions": [[0.000, 0.000, 0.000], [0.235, 0.000, 0.476], [0.635, 0.500, 0.275], [0.409, 0.500, 0.816]]
}